[1]
BaCuTe2O7: optimized geometry, PBE-GGA.

a b c (Å): 8.773 8.773 5.553
angles (deg): 90.00 90.00 130.80
Last column: magnetic moment on the atom in μB.
Sites, in units of the cell vectors:
O  0.502  0.463  0.750  0.00
O  0.139  0.139  0.500  0.00
O  0.873  0.139  0.250  0.02
O  0.162  0.474  0.002  0.09
O  0.463  0.502  0.250  0.00
O  0.139  0.873  0.750  0.02
O  0.474  0.162  0.502  0.09
O  0.474  0.162  0.998  0.09
O  0.551  0.841  0.508  0.07
O  0.841  0.551  0.008  0.07
O  0.139  0.139  0.000  0.00
O  0.551  0.841  0.992  0.07
O  0.841  0.551  0.492  0.07
O  0.162  0.474  0.498  0.09
Cu  0.367  0.629  0.750  0.57
Cu  0.629  0.367  0.250  0.57
Te  0.679  0.822  0.250  0.01
Te  0.822  0.679  0.750  0.01
Te  0.171  0.325  0.250  0.00
Te  0.325  0.171  0.750  0.00
Ba  0.217  0.797  0.250  0.00
Ba  0.797  0.217  0.750  0.00

Summary:
symmetry = No. 40
E_tot = -5.636 eV per atom


[2]
NaPuSc2S4: optimized geometry, PBE-GGA.

a b c (Å): 3.794 6.588 6.736
angles (deg): 108.96 90.00 90.00
Last column: magnetic moment on the atom in μB.
Sites, in units of the cell vectors:
Sc  0.000  0.500  0.500  0.13
Sc  0.500  0.000  0.500  0.07
Na  0.000  0.000  0.000  0.00
S  0.500  0.258  0.274  -0.02
S  0.000  0.243  0.731  -0.04
S  0.500  0.742  0.726  -0.02
S  0.000  0.757  0.269  -0.04
Pu  0.500  0.500  0.000  5.34

Summary:
symmetry = No. 10
E_tot = -7.368 eV per atom


[3]
AcRu: optimized geometry, PBE-GGA.

a b c (Å): 4.673 4.496 5.951
angles (deg): 90.00 113.21 90.00
Sites, in units of the cell vectors:
Ac  0.355  0.750  0.711
Ac  0.645  0.250  0.289
Ru  0.043  0.750  0.086
Ru  0.957  0.250  0.914

Summary:
symmetry = No. 11
E_tot = -6.764 eV per atom
formation energy from the elements = -7 kJ/mol of atoms


[4]
NaSrPuBr6: optimized geometry, PBE-GGA.

a b c (Å): 7.006 7.006 13.617
angles (deg): 90.00 90.00 90.00
Last column: magnetic moment on the atom in μB.
Sites, in units of the cell vectors:
Na  0.000  0.000  0.667  0.00
Na  0.500  0.500  0.167  0.00
Br  0.694  0.694  0.675  -0.02
Br  0.806  0.194  0.175  -0.02
Br  0.810  0.190  0.495  -0.02
Br  0.708  0.708  0.331  -0.02
Br  0.208  0.792  0.831  -0.02
Br  0.690  0.690  0.995  -0.02
Br  0.190  0.810  0.495  -0.02
Br  0.292  0.292  0.331  -0.02
Br  0.792  0.208  0.831  -0.02
Br  0.310  0.310  0.995  -0.02
Br  0.194  0.806  0.175  -0.02
Br  0.306  0.306  0.675  -0.02
Pu  0.000  0.000  0.333  5.07
Pu  0.500  0.500  0.833  5.07
Sr  0.500  0.500  0.499  0.00
Sr  0.000  0.000  0.999  0.00

Summary:
symmetry = No. 102
E_tot = -4.752 eV per atom


[5]
ZnCd2N2: optimized geometry, PBE-GGA.

a b c (Å): 3.043 3.043 18.975
angles (deg): 57.33 57.33 58.48
Sites, in units of the cell vectors:
N  0.417  0.417  0.537
N  0.583  0.583  0.463
Cd  0.744  0.744  0.828
Cd  0.256  0.256  0.172
Zn  0.000  0.000  0.000

Summary:
symmetry = No. 12
E_tot = -3.810 eV per atom
energy above the most stable polymorph in this dataset = 0.0000 eV/atom


[6]
Mn2BePb: optimized geometry, PBE-GGA.

a b c (Å): 4.780 4.780 4.780
angles (deg): 132.76 132.22 69.46
Last column: magnetic moment on the atom in μB.
Sites, in units of the cell vectors:
Mn  0.498  0.498  0.000  2.74
Mn  0.002  0.002  0.000  2.74
Be  0.250  0.750  0.500  -0.10
Pb  0.750  0.250  0.500  -0.10

Summary:
symmetry = No. 71
E_tot = -6.022 eV per atom
energy above the most stable polymorph in this dataset = 0.0248 eV/atom
formation energy from the elements = 41 kJ/mol of atoms


[7]
Pr6Ho2Th: optimized geometry, PBE-GGA.

a b c (Å): 3.674 10.246 10.246
angles (deg): 125.48 85.66 85.66
Sites, in units of the cell vectors:
Ho  0.500  0.839  0.161
Ho  0.500  0.161  0.839
Pr  0.674  0.673  0.673
Pr  0.816  0.501  0.160
Pr  0.184  0.499  0.840
Pr  0.184  0.840  0.499
Pr  0.816  0.160  0.501
Pr  0.326  0.327  0.327
Th  0.000  0.000  0.000

Summary:
symmetry = No. 12
E_tot = -4.916 eV per atom
energy above the most stable polymorph in this dataset = 0.0507 eV/atom
formation energy from the elements = 11 kJ/mol of atoms


[8]
RbV3Cl: optimized geometry, PBE-GGA.

a b c (Å): 4.627 4.627 4.627
angles (deg): 90.00 90.00 90.00
Last column: magnetic moment on the atom in μB.
Sites, in units of the cell vectors:
V  0.000  0.500  0.000  0.31
V  0.500  0.000  0.000  0.31
V  0.000  0.000  0.500  0.31
Cl  0.500  0.500  0.500  0.06
Rb  0.000  0.000  0.000  0.00

Summary:
symmetry = No. 221
E_tot = -3.157 eV per atom
energy above the most stable polymorph in this dataset = 1.5390 eV/atom


[9]
KCuPb2: optimized geometry, PBE-GGA.

a b c (Å): 4.989 4.776 4.776
angles (deg): 90.00 90.00 90.00
Sites, in units of the cell vectors:
Pb  0.000  0.000  0.000
Pb  0.000  0.500  0.500
Cu  0.500  0.500  0.000
K  0.500  0.000  0.500

Summary:
symmetry = No. 123
E_tot = -2.867 eV per atom
formation energy from the elements = 28 kJ/mol of atoms


[10]
AcSb3Ir: optimized geometry, PBE-GGA.

a b c (Å): 6.441 6.325 6.785
angles (deg): 90.01 89.97 90.00
Sites, in units of the cell vectors:
Sb  0.461  0.841  0.436
Sb  0.461  0.841  0.966
Sb  0.376  0.278  0.201
Sb  0.961  0.512  0.936
Sb  0.876  0.075  0.700
Sb  0.961  0.512  0.466
Ir  0.665  0.567  0.201
Ir  0.165  0.785  0.701
Ac  0.415  0.314  0.701
Ac  0.915  0.039  0.200

Summary:
symmetry = No. 31
E_tot = -5.594 eV per atom


| no. | density (g cm⁻³) |
| --- | --- |
| 1 | 5.83 |
| 2 | 5.06 |
| 3 | 9.48 |
| 4 | 4.14 |
| 5 | 4.49 |
| 6 | 9.29 |
| 7 | 7.55 |
| 8 | 4.59 |
| 9 | 7.55 |
| 10 | 9.42 |